## Ho6TlAg (GGA-PBE)

Data for an optimized crystal structure of Ho6TlAg.

a = 5.044 Å, b = 5.044 Å, c = 17.870 Å
α = 90.00°, β = 90.00°, γ = 90.00°
Positions (direct):
Ho  0.000  0.000  0.250
Ho  0.000  0.000  0.750
Ho  0.000  0.500  0.112
Ho  0.000  0.500  0.388
Ho  0.000  0.500  0.612
Ho  0.000  0.500  0.888
Ho  0.500  0.000  0.112
Ho  0.500  0.000  0.388
Ho  0.500  0.000  0.612
Ho  0.500  0.000  0.888
Ho  0.500  0.500  0.250
Ho  0.500  0.500  0.750
Tl  0.000  0.000  0.000
Tl  0.500  0.500  0.500
Ag  0.000  0.000  0.500
Ag  0.500  0.500  0.000

DFT total energy   -67.7 eV per cell
ΔE to the lowest computed polymorph   0 meV per atom
Energy of formation from the pure elements   -148 meV per atom

***

## CeSmHoGa (GGA-PBE)

Data for an optimized crystal structure of CeSmHoGa.

a = 7.548 Å, b = 7.548 Å, c = 7.548 Å
α = 90.00°, β = 90.00°, γ = 90.00°
Positions (direct):
Ce  0.000  0.000  0.000
Ce  0.000  0.500  0.500
Ce  0.500  0.000  0.500
Ce  0.500  0.500  0.000
Sm  0.000  0.000  0.500
Sm  0.000  0.500  0.000
Sm  0.500  0.000  0.000
Sm  0.500  0.500  0.500
Ho  0.250  0.250  0.250
Ho  0.250  0.750  0.750
Ho  0.750  0.250  0.750
Ho  0.750  0.750  0.250
Ga  0.250  0.250  0.750
Ga  0.250  0.750  0.250
Ga  0.750  0.250  0.250
Ga  0.750  0.750  0.750

DFT total energy   -74.2 eV per cell
Energy of formation from the pure elements   -74 meV per atom

***

## Hf2Zr2Ru (GGA-PBE)

Data for an optimized crystal structure of Hf2Zr2Ru.

a = 11.088 Å, b = 11.088 Å, c = 11.088 Å
α = 156.31°, β = 156.31°, γ = 33.75°
Positions (direct):
Hf  0.051  0.301  0.750
Hf  0.301  0.051  0.250
Hf  0.699  0.949  0.750
Hf  0.949  0.699  0.250
Zr  0.201  0.451  0.750
Zr  0.451  0.201  0.250
Zr  0.549  0.799  0.750
Zr  0.799  0.549  0.250
Ru  0.375  0.625  0.750
Ru  0.625  0.375  0.250

DFT total energy   -94.3 eV per cell
ΔE to the lowest computed polymorph   0 meV per atom
Energy of formation from the pure elements   -174 meV per atom

***

## KLi2As2 (GGA-PBE)

Data for an optimized crystal structure of KLi2As2.

a = 4.593 Å, b = 4.593 Å, c = 10.445 Å
α = 90.00°, β = 90.00°, γ = 90.00°
Positions (direct):
K  0.000  0.000  0.000
K  0.500  0.500  0.500
Li  0.000  0.500  0.250
Li  0.000  0.500  0.750
Li  0.500  0.000  0.250
Li  0.500  0.000  0.750
As  0.000  0.000  0.384
As  0.000  0.000  0.616
As  0.500  0.500  0.116
As  0.500  0.500  0.884

DFT total energy   -33.7 eV per cell
Energy of formation from the pure elements   -521 meV per atom

***

## PmHo5Tm4 (GGA-PBE)

Data for an optimized crystal structure of PmHo5Tm4.

a = 7.796 Å, b = 7.796 Å, c = 7.796 Å
α = 99.34°, β = 99.34°, γ = 132.49°
Positions (direct):
Pm  0.000  0.000  0.000
Ho  0.455  0.455  0.000
Ho  0.492  0.870  0.909
Ho  0.583  0.492  0.622
Ho  0.870  0.961  0.378
Ho  0.961  0.583  0.091
Tm  0.178  0.880  0.600
Tm  0.280  0.578  0.400
Tm  0.578  0.178  0.298
Tm  0.880  0.280  0.702

DFT total energy   -42.4 eV per cell
Energy of formation from the pure elements   311 meV per atom

***

## BiH3Pb3 (GGA-PBE)

Data for an optimized crystal structure of BiH3Pb3.

a = 8.695 Å, b = 8.695 Å, c = 8.695 Å
α = 51.09°, β = 51.09°, γ = 51.09°
Positions (direct):
Bi  0.194  0.194  0.194
Bi  0.806  0.806  0.806
H  0.073  0.073  0.701
H  0.073  0.701  0.073
H  0.299  0.927  0.927
H  0.701  0.073  0.073
H  0.927  0.299  0.927
H  0.927  0.927  0.299
Pb  0.222  0.752  0.752
Pb  0.248  0.248  0.778
Pb  0.248  0.778  0.248
Pb  0.752  0.222  0.752
Pb  0.752  0.752  0.222
Pb  0.778  0.248  0.248

DFT total energy   -46.5 eV per cell

***

## Ca3Tl3Pb2 (GGA-PBE)

Data for an optimized crystal structure of Ca3Tl3Pb2.

a = 6.574 Å, b = 6.574 Å, c = 16.973 Å
α = 90.00°, β = 90.00°, γ = 136.44°
Positions (direct):
Ca  0.109  0.891  0.750
Ca  0.380  0.620  0.619
Ca  0.380  0.620  0.881
Ca  0.620  0.380  0.119
Ca  0.620  0.380  0.381
Ca  0.891  0.109  0.250
Tl  0.129  0.871  0.512
Tl  0.129  0.871  0.988
Tl  0.157  0.843  0.250
Tl  0.843  0.157  0.750
Tl  0.871  0.129  0.012
Tl  0.871  0.129  0.488
Pb  0.345  0.655  0.125
Pb  0.345  0.655  0.375
Pb  0.655  0.345  0.625
Pb  0.655  0.345  0.875

DFT total energy   -46.1 eV per cell
ΔE to the lowest computed polymorph   31 meV per atom
Energy of formation from the pure elements   -319 meV per atom

***

## Mn3Al4Cu (GGA-PBE)

Data for an optimized crystal structure of Mn3Al4Cu.

a = 2.862 Å, b = 4.250 Å, c = 8.564 Å
α = 90.00°, β = 90.00°, γ = 90.00°
Positions (direct):
Mn  0.000  0.000  0.000
Mn  0.000  0.500  0.247
Mn  0.000  0.500  0.753
Al  0.500  0.000  0.250
Al  0.500  0.000  0.750
Al  0.500  0.500  0.000
Al  0.500  0.500  0.500
Cu  0.000  0.000  0.500

DFT total energy   -48.4 eV per cell
Energy of formation from the pure elements   -222 meV per atom

***

## LiBeSi2 (GGA-PBE)

Data for an optimized crystal structure of LiBeSi2.

a = 3.239 Å, b = 3.239 Å, c = 4.929 Å
α = 90.00°, β = 90.00°, γ = 90.00°
Positions (direct):
Li  0.000  0.000  0.000
Be  0.500  0.500  0.735
Si  0.000  0.000  0.508
Si  0.500  0.500  0.266

DFT total energy   -15.6 eV per cell
Formation energy from raw total energies   214 meV/atom

***

## BaSr2MgAu (GGA-PBE)

Data for an optimized crystal structure of BaSr2MgAu.

a = 6.104 Å, b = 6.104 Å, c = 6.311 Å
α = 90.00°, β = 90.00°, γ = 90.00°
Positions (direct):
Ba  0.000  0.000  0.000
Sr  0.000  0.500  0.500
Sr  0.500  0.000  0.500
Mg  0.500  0.500  0.000
Au  0.000  0.000  0.500

DFT total energy   -11.3 eV per cell
ΔE to the lowest computed polymorph   44 meV per atom
Energy of formation from the pure elements   -233 meV per atom

***

## ErMgTlIn (GGA-PBE)

Data for an optimized crystal structure of ErMgTlIn.

a = 7.377 Å, b = 7.377 Å, c = 7.377 Å
α = 90.00°, β = 90.00°, γ = 90.00°
Positions (direct):
Er  0.000  0.000  0.000
Er  0.000  0.500  0.500
Er  0.500  0.000  0.500
Er  0.500  0.500  0.000
Mg  0.000  0.000  0.500
Mg  0.000  0.500  0.000
Mg  0.500  0.000  0.000
Mg  0.500  0.500  0.500
Tl  0.250  0.250  0.250
Tl  0.250  0.750  0.750
Tl  0.750  0.250  0.750
Tl  0.750  0.750  0.250
In  0.250  0.250  0.750
In  0.250  0.750  0.250
In  0.750  0.250  0.250
In  0.750  0.750  0.750

DFT total energy   -48.6 eV per cell
ΔE to the lowest computed polymorph   75 meV per atom
Energy of formation from the pure elements   -220 meV per atom

***

## Na7ThO6 (GGA-PBE)

Data for an optimized crystal structure of Na7ThO6.

a = 6.783 Å, b = 6.783 Å, c = 6.783 Å
α = 59.12°, β = 59.12°, γ = 59.12°
Positions (direct):
Na  0.000  0.000  0.000
Na  0.152  0.533  0.939
Na  0.170  0.706  0.413
Na  0.413  0.170  0.706
Na  0.533  0.939  0.152
Na  0.706  0.413  0.170
Na  0.939  0.152  0.533
Th  0.652  0.652  0.652
O  0.291  0.845  0.579
O  0.421  0.773  0.998
O  0.579  0.291  0.845
O  0.773  0.998  0.421
O  0.845  0.579  0.291
O  0.998  0.421  0.773

DFT total energy   -70.7 eV per cell
Formation energy from raw total energies   -1734 meV/atom

***

## ReIBr2 (GGA-PBE)

Data for an optimized crystal structure of ReIBr2.

a = 7.487 Å, b = 7.487 Å, c = 7.487 Å
α = 90.00°, β = 90.00°, γ = 90.00°
Positions (direct):
Re  0.000  0.000  0.000
Re  0.000  0.500  0.500
Re  0.500  0.000  0.500
Re  0.500  0.500  0.000
I  0.000  0.000  0.500
I  0.000  0.500  0.000
I  0.500  0.000  0.000
I  0.500  0.500  0.500
Br  0.250  0.250  0.250
Br  0.250  0.250  0.750
Br  0.250  0.750  0.250
Br  0.250  0.750  0.750
Br  0.750  0.250  0.250
Br  0.750  0.250  0.750
Br  0.750  0.750  0.250
Br  0.750  0.750  0.750

DFT total energy   -46.8 eV per cell
ΔE to the lowest computed polymorph   960 meV per atom
Formation energy from raw total energies   1410 meV/atom

***

## Ti3Ga3TcNi2 (GGA-PBE)

Data for an optimized crystal structure of Ti3Ga3TcNi2.

a = 7.155 Å, b = 7.155 Å, c = 3.018 Å
α = 90.00°, β = 90.00°, γ = 120.00°
Positions (direct):
Ti  0.000  0.712  0.000
Ti  0.288  0.288  0.000
Ti  0.712  0.000  0.000
Ga  0.000  0.379  0.500
Ga  0.379  0.000  0.500
Ga  0.621  0.621  0.500
Tc  0.000  0.000  0.500
Ni  0.333  0.667  0.000
Ni  0.667  0.333  0.000

DFT total energy   -58.0 eV per cell
Energy of formation from the pure elements   -371 meV per atom

***

## KHfCl2 (GGA-PBE)

Data for an optimized crystal structure of KHfCl2.

a = 3.644 Å, b = 3.644 Å, c = 27.705 Å
α = 90.00°, β = 90.00°, γ = 120.00°
Positions (direct):
K  0.000  0.000  0.000
K  0.333  0.667  0.667
K  0.667  0.333  0.333
Hf  0.000  0.000  0.500
Hf  0.333  0.667  0.167
Hf  0.667  0.333  0.833
Cl  0.000  0.000  0.410
Cl  0.000  0.000  0.590
Cl  0.333  0.667  0.077
Cl  0.333  0.667  0.256
Cl  0.667  0.333  0.744
Cl  0.667  0.333  0.923

DFT total energy   -55.9 eV per cell
ΔE to the lowest computed polymorph   0 meV per atom
Formation energy from raw total energies   -969 meV/atom

***

## Ac3GaRu (GGA-PBE)

Data for an optimized crystal structure of Ac3GaRu.

a = 5.664 Å, b = 5.664 Å, c = 5.664 Å
α = 90.00°, β = 90.00°, γ = 90.00°
Positions (direct):
Ac  0.000  0.000  0.500
Ac  0.000  0.500  0.000
Ac  0.500  0.000  0.000
Ga  0.500  0.500  0.500
Ru  0.000  0.000  0.000

DFT total energy   -25.2 eV per cell
ΔE to the lowest computed polymorph   99 meV per atom
Energy of formation from the pure elements   -122 meV per atom

***

## Ta2InW (GGA-PBE)

Data for an optimized crystal structure of Ta2InW.

a = 2.853 Å, b = 4.592 Å, c = 5.758 Å
α = 90.00°, β = 103.06°, γ = 90.00°
Positions (direct):
Ta  0.227  0.000  0.268
Ta  0.773  0.000  0.732
In  0.500  0.500  0.000
W  0.000  0.500  0.500

DFT total energy   -38.7 eV per cell
Energy of formation from the pure elements   181 meV per atom

***

## La2Zn5Si3 (GGA-PBE)

Data for an optimized crystal structure of La2Zn5Si3.

a = 4.401 Å, b = 4.401 Å, c = 9.908 Å
α = 90.00°, β = 90.00°, γ = 90.00°
Positions (direct):
La  0.000  0.500  0.241
La  0.500  0.000  0.759
Zn  0.000  0.000  0.500
Zn  0.000  0.500  0.633
Zn  0.500  0.000  0.367
Zn  0.500  0.500  0.000
Zn  0.500  0.500  0.500
Si  0.000  0.000  0.000
Si  0.000  0.500  0.880
Si  0.500  0.000  0.120

DFT total energy   -36.2 eV per cell
Formation energy from raw total energies   -366 meV/atom

***

## Nd3Sm2TmSe6 (GGA-PBE)

Data for an optimized crystal structure of Nd3Sm2TmSe6.

a = 9.350 Å, b = 9.350 Å, c = 8.422 Å
α = 103.47°, β = 103.47°, γ = 25.64°
Positions (direct):
Nd  0.000  0.000  0.000
Nd  0.329  0.329  0.666
Nd  0.671  0.671  0.334
Sm  0.331  0.331  0.164
Sm  0.669  0.669  0.836
Tm  0.000  0.000  0.500
Se  0.160  0.160  0.584
Se  0.167  0.167  0.080
Se  0.500  0.500  0.264
Se  0.500  0.500  0.736
Se  0.833  0.833  0.920
Se  0.840  0.840  0.416

DFT total energy   -70.8 eV per cell
Formation energy from raw total energies   -1804 meV/atom

***

## BaErBi2 (GGA-PBE)

Data for an optimized crystal structure of BaErBi2.

a = 4.600 Å, b = 4.600 Å, c = 25.061 Å
α = 90.00°, β = 90.00°, γ = 120.00°
Positions (direct):
Ba  0.000  0.000  0.000
Ba  0.333  0.667  0.667
Ba  0.667  0.333  0.333
Er  0.000  0.000  0.829
Er  0.333  0.667  0.495
Er  0.667  0.333  0.162
Bi  0.000  0.000  0.234
Bi  0.000  0.000  0.428
Bi  0.333  0.667  0.094
Bi  0.333  0.667  0.900
Bi  0.667  0.333  0.567
Bi  0.667  0.333  0.761

DFT total energy   -51.4 eV per cell
ΔE to the lowest computed polymorph   30 meV per atom
Energy of formation from the pure elements   -720 meV per atom